No. 1
First-principles (PBE) data for a geometry-optimized AcThZn structure, as listed in Alexandria.

Output
Magnetization   0.000 μB per cell
Electronic total energy   -50.5 eV for the cell shown
E_form   0.06 eV/atom
Relative energy among the computed polymorphs   111 meV per atom

a b c (Å): 9.046 5.750 7.697
angles (deg): 90.00 109.15 90.00
Atoms (fractional coordinates):
Ac  0.127  0.000  0.345
Ac  0.373  0.500  0.655
Ac  0.627  0.500  0.345
Ac  0.873  0.000  0.655
Th  0.211  0.500  0.084
Th  0.289  0.000  0.916
Th  0.711  0.000  0.084
Th  0.789  0.500  0.916
Zn  0.031  0.500  0.676
Zn  0.469  0.000  0.324
Zn  0.531  0.000  0.676
Zn  0.969  0.500  0.324

=====

No. 2
First-principles (PBE) data for a geometry-optimized Co3Mo structure, as listed in Alexandria.

Output
Magnetization   12.183 μB per cell
Electronic total energy   -93.6 eV for the cell shown
E_form   0.24 eV/atom

a b c (Å): 8.213 8.213 2.516
angles (deg): 90.00 90.00 120.00
Atoms (fractional coordinates):
Co  0.000  0.500  0.000
Co  0.167  0.333  0.333
Co  0.167  0.833  0.333
Co  0.333  0.167  0.667
Co  0.500  0.000  0.000
Co  0.500  0.500  0.000
Co  0.667  0.833  0.333
Co  0.833  0.167  0.667
Co  0.833  0.667  0.667
Mo  0.000  0.000  0.000
Mo  0.333  0.667  0.667
Mo  0.667  0.333  0.333

=====

No. 3
First-principles (PBE) data for a geometry-optimized CaAl2Ir structure, as listed in Alexandria.

Output
Magnetization   0.000 μB per cell
Electronic total energy   -37.2 eV for the cell shown
E_form   -0.06 eV/atom

a b c (Å): 5.555 8.783 2.961
angles (deg): 90.00 99.86 90.00
Atoms (fractional coordinates):
Ca  0.000  0.000  0.000
Ca  0.500  0.500  0.000
Al  0.250  0.250  0.500
Al  0.250  0.750  0.500
Al  0.750  0.250  0.500
Al  0.750  0.750  0.500
Ir  0.000  0.500  0.000
Ir  0.500  0.000  0.000

=====

No. 4
First-principles (PBE) data for a geometry-optimized Tb3Pm2Nd8 structure, as listed in Alexandria.

Output
Magnetization   0.000 μB per cell
Electronic total energy   -58.9 eV for the cell shown
E_form   0.20 eV/atom
Relative energy among the computed polymorphs   42 meV per atom

a b c (Å): 5.755 7.730 11.062
angles (deg): 110.45 90.01 90.00
Atoms (fractional coordinates):
Tb  0.000  0.000  0.000
Tb  0.500  0.285  0.000
Tb  0.500  0.715  0.000
Pm  0.001  0.760  0.519
Pm  0.999  0.240  0.481
Nd  0.000  0.190  0.791
Nd  0.000  0.399  0.209
Nd  0.000  0.601  0.791
Nd  0.000  0.810  0.209
Nd  0.500  0.131  0.262
Nd  0.500  0.329  0.658
Nd  0.500  0.671  0.342
Nd  0.500  0.869  0.738

=====

No. 5
First-principles (PBE) data for a geometry-optimized ZrCoMo2 structure, as listed in Alexandria.

Output
Magnetization   2.706 μB per cell
Electronic total energy   -73.4 eV for the cell shown
E_form   0.16 eV/atom
Relative energy among the computed polymorphs   175 meV per atom

a b c (Å): 5.375 9.134 2.786
angles (deg): 90.00 110.09 90.00
Atoms (fractional coordinates):
Zr  0.000  0.000  0.000
Zr  0.500  0.500  0.000
Co  0.000  0.500  0.000
Co  0.500  0.000  0.000
Mo  0.250  0.250  0.500
Mo  0.250  0.750  0.500
Mo  0.750  0.250  0.500
Mo  0.750  0.750  0.500

=====

No. 6
First-principles (PBE) data for a geometry-optimized RbAcPtO6 structure, as listed in Alexandria.

Output
Magnetization   4.014 μB per cell
Formation energy from raw total energies   -1067 meV/atom
Electronic total energy   -50.5 eV for the cell shown

a b c (Å): 6.112 6.112 4.884
angles (deg): 90.00 90.00 120.00
Atoms (fractional coordinates):
Rb  0.000  0.000  0.000
Ac  0.667  0.333  0.500
Pt  0.333  0.667  0.000
O  0.054  0.426  0.231
O  0.054  0.628  0.769
O  0.372  0.426  0.769
O  0.372  0.946  0.231
O  0.574  0.628  0.231
O  0.574  0.946  0.769

=====

No. 7
First-principles (PBE) data for a geometry-optimized AcEuBiCl structure, as listed in Alexandria.

Output
Magnetization   31.625 μB per cell
Formation energy from raw total energies   -1186 meV/atom
Electronic total energy   -99.4 eV for the cell shown

a b c (Å): 7.978 7.978 7.978
angles (deg): 90.00 90.00 90.00
Atoms (fractional coordinates):
Ac  0.000  0.000  0.000
Ac  0.000  0.500  0.500
Ac  0.500  0.000  0.500
Ac  0.500  0.500  0.000
Eu  0.000  0.000  0.500
Eu  0.000  0.500  0.000
Eu  0.500  0.000  0.000
Eu  0.500  0.500  0.500
Bi  0.250  0.250  0.250
Bi  0.250  0.750  0.750
Bi  0.750  0.250  0.750
Bi  0.750  0.750  0.250
Cl  0.250  0.250  0.750
Cl  0.250  0.750  0.250
Cl  0.750  0.250  0.250
Cl  0.750  0.750  0.750

=====

Question: electronic total energy of number 5 (ZrCoMo2)?
Answer: -73.4 eV for the cell shown

=====

Question: Which formula does entry 6 have?
Answer: RbAcPtO6

=====

Question: The lowest electronic total energy belongs to which entry?
Answer: AcEuBiCl

=====

Question: Which of these has the highest electronic total energy?
Answer: CaAl2Ir